{
  "formula": "KGdNb6Cl18",
  "functional": "PBE",
  "state": "optimized geometry",
  "lattice": [[-3.9251, 0.3218, -9.4575], [2.8627, -6.1848, -7.6490], [-5.9330, -7.3114, -4.0369]],
  "species": ["Nb", "Nb", "Nb", "Nb", "Nb", "Nb", "Cl", "Cl", "Cl", "Cl", "Cl", "Cl", "Cl", "Cl", "Cl", "Cl", "Cl", "Cl", "Cl", "Cl", "Cl", "Cl", "Cl", "Cl", "Gd", "K"],
  "fractional_positions": [[0.6975, 0.3518, 0.5894], [0.5894, 0.6975, 0.3518], [0.4099, 0.3034, 0.6485], [0.3518, 0.5894, 0.6975], [0.3034, 0.6485, 0.4099], [0.6485, 0.4099, 0.3034], [0.5691, 0.1615, 0.4420], [0.9548, 0.1626, 0.7036], [0.1615, 0.4420, 0.5691], [0.3709, 0.9082, 0.2230], [0.3020, 0.0390, 0.8388], [0.7780, 0.6293, 0.0908], [0.1626, 0.7036, 0.9548], [0.5583, 0.4314, 0.8385], [0.9082, 0.2230, 0.3709], [0.6293, 0.0908, 0.7780], [0.4314, 0.8385, 0.5583], [0.4420, 0.5691, 0.1615], [0.7036, 0.9548, 0.1626], [0.8385, 0.5583, 0.4314], [0.2230, 0.3709, 0.9082], [0.8388, 0.3020, 0.0390], [0.0390, 0.8388, 0.3020], [0.0908, 0.7780, 0.6293], [0.9991, 0.9991, 0.9991], [0.7213, 0.7213, 0.7213]],
  "sg": "R3, No. 146",
  "dos_ef_per_ev_fu": 5.134,
  "raw_formation_energy_ev_per_fu": -38.78
}